Record 1
First-principles (PBE+U) data for crystalline AcVBi2O8 at its relaxed geometry, as listed in Alexandria via LeMat-Bulk.

Properties
Calculated total energy: -6.334 eV per atom
Space group: P-3m1
D(E_F): 0.5325 states/eV per atom
M_tot: 0.00 μB per cell

a = 5.2591 Å, b = 5.2591 Å, c = 6.9483 Å
α = 90.00°, β = 90.00°, γ = 120.00°
Closest atoms and distances in Å follow each position.
Positions (direct):
Ac (0.0000, 0.0000, 0.0000)  12 O 2.77-3.07
V (0.0000, 0.0000, 0.5000)  6 O 1.87
Bi (0.3333, 0.6667, 0.3581)  1 O 2.05
Bi (0.6667, 0.3333, 0.6419)  1 O 2.05
O (0.1629, 0.3258, 0.6640)  1 V 1.87
O (0.1629, 0.8371, 0.6640)  1 V 1.87
O (0.3258, 0.1629, 0.3360)  1 V 1.87
O (0.3333, 0.6667, 0.0630)  1 Bi 2.05
O (0.6667, 0.3333, 0.9370)  1 Bi 2.05
O (0.6742, 0.8371, 0.6640)  1 V 1.87
O (0.8371, 0.1629, 0.3360)  1 V 1.87
O (0.8371, 0.6742, 0.3360)  1 V 1.87

=====

Record 2
First-principles (PBE+U) data for crystalline AcBi2WO8 at its relaxed geometry, as listed in Alexandria via LeMat-Bulk.

Properties
Calculated total energy: -6.765 eV per atom
Space group: Cmmm
D(E_F): 0.3383 states/eV per atom
M_tot: 0.00 μB per cell

a = 5.2203 Å, b = 5.2203 Å, c = 7.1227 Å
α = 90.00°, β = 90.00°, γ = 91.37°
Closest atoms and distances in Å follow each position.
Positions (direct):
Ac (0.0000, 0.0000, 0.0000)  6 O 2.43-2.51
Bi (0.5000, 0.5000, 0.2584)  6 O 2.26-2.46
Bi (0.5000, 0.5000, 0.7416)  6 O 2.26-2.46
W (0.0000, 0.0000, 0.5000)  6 O 1.96-1.98
O (0.1825, 0.1825, 0.2981)  1 W 1.96
O (0.1825, 0.1825, 0.7019)  1 W 1.96
O (0.2646, 0.7354, 0.5000)  1 W 1.98
O (0.3255, 0.6745, 0.0000)  2 Bi 2.26, 1 Ac 2.43
O (0.6745, 0.3255, 0.0000)  2 Bi 2.26, 1 Ac 2.43
O (0.7354, 0.2646, 0.5000)  1 W 1.98
O (0.8175, 0.8175, 0.2981)  1 W 1.96
O (0.8175, 0.8175, 0.7019)  1 W 1.96

=====

Record 3
First-principles (PBE+U) data for crystalline Ac2BiWO8 at its relaxed geometry, as listed in Alexandria via LeMat-Bulk.

Properties
Calculated total energy: -7.190 eV per atom
Space group: C2/m
D(E_F): 0.3499 states/eV per atom
M_tot: 0.00 μB per cell

a = 5.3375 Å, b = 5.3375 Å, c = 7.1464 Å
α = 90.56°, β = 90.56°, γ = 91.89°
Closest atoms and distances in Å follow each position.
Positions (direct):
Ac (0.0253, 0.0253, 0.2587)  6 O 2.41-2.55
Ac (0.9747, 0.9747, 0.7413)  6 O 2.41-2.55
Bi (0.5000, 0.5000, 0.0000)  2 O 2.18
W (0.5000, 0.5000, 0.5000)  6 O 1.94-1.99
O (0.2070, 0.2070, 0.9817)  1 Bi 2.18, 2 Ac 2.41-2.42
O (0.2402, 0.2402, 0.5228)  1 W 1.94
O (0.3111, 0.6539, 0.2909)  1 W 1.99
O (0.3461, 0.6889, 0.7091)  1 W 1.99
O (0.6539, 0.3111, 0.2909)  1 W 1.99
O (0.6889, 0.3461, 0.7091)  1 W 1.99
O (0.7598, 0.7598, 0.4772)  1 W 1.94
O (0.7930, 0.7930, 0.0183)  1 Bi 2.18, 2 Ac 2.41-2.42

=====

Record 4
First-principles (PBE+U) data for crystalline AcBiWO6 at its relaxed geometry, as listed in Alexandria via LeMat-Bulk.

Properties
Calculated total energy: -7.155 eV per atom
Space group: P-31c
D(E_F): 0.0000 states/eV per atom
M_tot: 0.00 μB per cell

a = 5.9605 Å, b = 5.9605 Å, c = 9.0717 Å
α = 90.00°, β = 90.00°, γ = 120.00°
Closest atoms and distances in Å follow each position.
Positions (direct):
Ac (0.3333, 0.6667, 0.2500)  6 O 2.50
Ac (0.6667, 0.3333, 0.7500)  6 O 2.50
Bi (0.0000, 0.0000, 0.0000)  6 O 2.43
Bi (0.0000, 0.0000, 0.5000)  6 O 2.43
W (0.3333, 0.6667, 0.7500)  6 O 1.96
W (0.6667, 0.3333, 0.2500)  6 O 1.96
O (0.0675, 0.3847, 0.6300)  1 W 1.96
O (0.0675, 0.6827, 0.8700)  1 W 1.96
O (0.3173, 0.3847, 0.8700)  1 W 1.96
O (0.3173, 0.9325, 0.6300)  1 W 1.96
O (0.3847, 0.0675, 0.1300)  1 W 1.96
O (0.3847, 0.3173, 0.3700)  1 W 1.96
O (0.6153, 0.6827, 0.6300)  1 W 1.96
O (0.6153, 0.9325, 0.8700)  1 W 1.96
O (0.6827, 0.0675, 0.3700)  1 W 1.96
O (0.6827, 0.6153, 0.1300)  1 W 1.96
O (0.9325, 0.3173, 0.1300)  1 W 1.96
O (0.9325, 0.6153, 0.3700)  1 W 1.96

=====

Question: Look up the M_tot of the third one.
Answer: 0.00 μB per cell

=====

Question: Number 1 is which compound?
Answer: AcVBi2O8